Record 1
AcAs2O4: relaxed, PBE-GGA.

Cell lengths 4.308, 4.437, 7.697 Å; angles 78.16, 83.26, 59.03 degrees
Element x y z (fractional)
1 O 0.048 0.941 0.330
2 Ac 0.000 0.000 0.000
3 As 0.786 0.788 0.635
4 O 0.952 0.059 0.670
5 O 0.334 0.296 0.126
6 O 0.666 0.704 0.874
7 As 0.214 0.212 0.365

ΔE_f (raw) in eV/f.u.: -12.8
Space-group type: No. 2
M_tot in μB per atom: 0.000
Density in g/cm³: 5.9



Record 2
AcAsO: relaxed, PBE-GGA.

Cell lengths 3.772, 3.772, 8.989 Å; angles 102.11, 102.11, 90.00 degrees
Element x y z (fractional)
1 As 0.000 0.500 0.000
2 As 0.500 0.000 0.000
3 O 0.805 0.805 0.611
4 O 0.195 0.195 0.389
5 Ac 0.340 0.340 0.680
6 Ac 0.660 0.660 0.320

ΔE_f (raw) in eV/f.u.: -6.4
Space-group type: No. 139
M_tot in μB per atom: 0.000
Density in g/cm³: 8.6



Record 3
Ac2AsO2: relaxed, PBE-GGA.

Cell lengths 6.479, 6.718, 6.808 Å; angles 120.06, 101.12, 104.34 degrees
Element x y z (fractional)
1 O 0.498 0.225 0.981
2 Ac 0.827 0.192 0.197
3 Ac 0.501 0.633 0.306
4 O 0.251 0.486 0.476
5 As 0.048 0.844 0.320
6 O 0.502 0.775 0.019
7 O 0.749 0.514 0.524
8 Ac 0.173 0.808 0.803
9 Ac 0.499 0.367 0.694
10 As 0.952 0.156 0.680

ΔE_f (raw) in eV/f.u.: -13.1
Space-group type: No. 2
M_tot in μB per atom: 0.000
Density in g/cm³: 8.1



Record 4
AcAsO2: relaxed, PBE-GGA.

Cell lengths 3.988, 3.988, 6.613 Å; angles 72.45, 72.45, 60.00 degrees
Element x y z (fractional)
1 Ac 0.500 0.500 0.500
2 O 0.111 0.111 0.666
3 O 0.889 0.889 0.334
4 As 0.000 0.000 0.000

ΔE_f (raw) in eV/f.u.: -8.0
Space-group type: No. 166
M_tot in μB per atom: 0.000
Density in g/cm³: 6.5



Q: Number 1 is which compound?
A: AcAs2O4



Q: Which of these has the highest density?
A: AcAsO



Q: Among the records above, which one has the lowest ΔE_f (raw)?
A: Ac2AsO2